Rb2Sb2Se (PBE, relaxed); magnetic moment = 0.000 μB per formula unit; formation energy from raw total energies = -0.2469 eV per atom; space group = No. 139; offset from the most stable computed form = 0.1930 eV per atom; energy = -2.980 eV per atom
1.0
-3.635 3.635 4.161
3.635 -3.635 4.161
3.635 3.635 -4.161
Rb Sb Se
2 2 1
direct
0.250 0.750 0.500 Rb
0.750 0.250 0.500 Rb
0.167 0.167 0.000 Sb
0.833 0.833 0.000 Sb
0.500 0.500 0.000 Se